# 1
Here is a relaxed structure of TbPa2Re from Alexandria via LeMat-Bulk. Energies are from PBE-GGA.

Computed properties:
Energy relative to the elements ... 0.1356 eV per atom
Relative energy among the computed polymorphs ... 0 meV/atom
Fermi-level density of states ... 2.4664 states/eV per atom

Unit cell a=3.3127 b=3.3127 c=8.9263 alpha=90.00 beta=90.00 gamma=90.00
Fractional positions:
1 Pa 0.0000 0.0000 0.2031
2 Re 0.5000 0.5000 0.0000
3 Pa 0.0000 0.0000 0.7969
4 Tb 0.5000 0.5000 0.5000

=====

# 2
Here is a relaxed structure of TbPa2Re from Alexandria via LeMat-Bulk. Energies are from PBE-GGA.

Computed properties:
Energy relative to the elements ... 0.2944 eV per atom
Relative energy among the computed polymorphs ... 159 meV/atom
Fermi-level density of states ... 1.6779 states/eV per atom

Unit cell a=3.7807 b=3.7807 c=9.0797 alpha=77.98 beta=77.98 gamma=60.00
Fractional positions:
1 Tb 0.5000 0.5000 0.5000
2 Pa 0.7298 0.7298 0.8107
3 Re 0.0000 0.0000 0.0000
4 Pa 0.2702 0.2702 0.1893

=====

# 3
Here is a relaxed structure of TbPaReTc from Alexandria via LeMat-Bulk. Energies are from PBE-GGA.

Computed properties:
Energy relative to the elements ... -0.0007 eV per atom
Fermi-level density of states ... 0.6596 states/eV per atom

Unit cell a=4.8632 b=4.8632 c=4.8632 alpha=60.00 beta=60.00 gamma=60.00
Fractional positions:
1 Tc 0.0000 0.0000 0.0000
2 Re 0.5000 0.5000 0.5000
3 Pa 0.2500 0.2500 0.2500
4 Tb 0.7500 0.7500 0.7500

=====

# 4
Here is a relaxed structure of Pa2ReTc from Alexandria via LeMat-Bulk. Energies are from PBE-GGA.

Computed properties:
Energy relative to the elements ... -0.0603 eV per atom
Relative energy among the computed polymorphs ... 8 meV/atom
Fermi-level density of states ... 0.9222 states/eV per atom

Unit cell a=4.1732 b=4.1731 c=5.8757 alpha=90.01 beta=90.00 gamma=120.00
Fractional positions:
1 Tc 0.0000 0.0000 0.5000
2 Pa 0.3334 0.6667 0.2506
3 Re 0.0000 0.0000 0.0000
4 Pa 0.6666 0.3333 0.7494

=====

# 5
Here is a relaxed structure of Pa3ReTc from Alexandria via LeMat-Bulk. Energies are from PBE-GGA.

Computed properties:
Energy relative to the elements ... 0.0979 eV per atom
Fermi-level density of states ... 1.3569 states/eV per atom

Unit cell a=6.7065 b=6.7065 c=7.2803 alpha=62.57 beta=62.57 gamma=60.00
Fractional positions:
1 Pa 0.1428 0.3538 0.7567
2 Tc 0.8353 0.8353 0.4942
3 Pa 0.3538 0.7467 0.7567
4 Pa 0.8572 0.6462 0.2433
5 Pa 0.7467 0.1428 0.7567
6 Re 0.6817 0.6817 0.9549
7 Pa 0.6462 0.2533 0.2433
8 Pa 0.2533 0.8572 0.2433
9 Re 0.3183 0.3183 0.0451
10 Tc 0.1647 0.1647 0.5058

=====

# 6
Here is a relaxed structure of PaReTc from Alexandria via LeMat-Bulk. Energies are from PBE-GGA.

Computed properties:
Energy relative to the elements ... -0.0323 eV per atom
Relative energy among the computed polymorphs ... 163 meV/atom
Fermi-level density of states ... 1.2978 states/eV per atom

Unit cell a=4.7401 b=5.3827 c=5.1442 alpha=90.00 beta=117.43 gamma=90.00
Fractional positions:
1 Pa 0.7222 0.7500 0.9444
2 Re 0.0000 0.5000 0.5000
3 Tc 0.5481 0.2500 0.5961
4 Pa 0.2778 0.2500 0.0556
5 Re 0.0000 0.0000 0.5000
6 Tc 0.4519 0.7500 0.4039

=====

> The highest energy relative to the elements belongs to which entry?

number 2

=====

Copy entry 3 word for word.
Here is a relaxed structure of TbPaReTc from Alexandria via LeMat-Bulk. Energies are from PBE-GGA.

Computed properties:
Energy relative to the elements ... -0.0007 eV per atom
Fermi-level density of states ... 0.6596 states/eV per atom

Unit cell a=4.8632 b=4.8632 c=4.8632 alpha=60.00 beta=60.00 gamma=60.00
Fractional positions:
1 Tc 0.0000 0.0000 0.0000
2 Re 0.5000 0.5000 0.5000
3 Pa 0.2500 0.2500 0.2500
4 Tb 0.7500 0.7500 0.7500

=====

> What is the Fermi-level density of states in the fifth record?

1.3569 states/eV per atom

=====

> Which value of Fermi-level density of states does entry 6 give?

1.2978 states/eV per atom